1.
Entry from Alexandria via LeMat-Bulk: a relaxed Mg3NbRh crystal (GGA-PBEsol).

Cell lengths 4.7013, 4.7013, 4.7013 Å; angles 90.00, 90.00, 90.00 degrees
With the nearest neighbours (Å) after each atom.
Element x y z (fractional)
Mg  0.0000  0.0000  0.5000  2 Rh 2.35
Mg  0.0000  0.5000  0.0000  2 Rh 2.35
Mg  0.5000  0.0000  0.0000  2 Rh 2.35
Nb  0.5000  0.5000  0.5000  12 Mg 3.32
Rh  0.0000  0.0000  0.0000  6 Mg 2.35

---

2.
Entry from Alexandria via LeMat-Bulk: a relaxed InGaI2 crystal (GGA-PBEsol).

Cell lengths 5.6729, 5.6729, 5.6729 Å; angles 60.00, 60.00, 60.00 degrees
With the nearest neighbours (Å) after each atom.
Element x y z (fractional)
In  0.0000  0.0000  0.0000  8 I 3.47
Ga  0.5000  0.5000  0.5000  8 I 3.47
I  0.2500  0.2500  0.2500  4 In 3.47, 4 Ga 3.47
I  0.7500  0.7500  0.7500  4 In 3.47, 4 Ga 3.47

Computed properties:
Its uncorrected formation energy is -0.2733 eV/atom.

---

3.
Entry from Alexandria via LeMat-Bulk: a relaxed NaTi3Tl crystal (GGA-PBEsol).

Cell lengths 5.1962, 5.1962, 5.1962 Å; angles 90.00, 90.00, 90.00 degrees
With the nearest neighbours (Å) after each atom.
Element x y z (fractional)
Na  0.0000  0.0000  0.0000  12 Ti 3.67
Ti  0.0000  0.5000  0.5000  2 Tl 2.60
Ti  0.5000  0.0000  0.5000  2 Tl 2.60
Ti  0.5000  0.5000  0.0000  2 Tl 2.60
Tl  0.5000  0.5000  0.5000  6 Ti 2.60

---

no.,E_tot (Ry per atom)
1,-0.3052
2,-0.2012
3,-0.3329